[1]
A geometry-optimized InTe6Au structure, computed with PBE-GGA.

POSCAR file:
```
InTe6Au
1.0
6.523 0.000 0.000
2.212 6.163 0.000
1.633 1.978 6.461
In Te Au
1 6 1
Cartesian
0.000 0.000 0.000
2.701 5.252 3.036
4.689 5.051 5.955
4.357 1.741 4.432
6.011 6.400 2.029
5.679 3.091 0.506
7.666 2.890 3.425
5.184 4.071 3.230
```

total magnetization	0.0	μB/cell
V	259.7	Å³/f.u.
raw formation energy	0.0614	eV per atom



[2]
A geometry-optimized InTeAu2 structure, computed with PBE-GGA.

POSCAR file:
```
InTeAu2
1.0
4.905 0.000 0.000
0.000 4.300 0.000
-1.555 0.000 4.667
In Te Au
1 1 2
Cartesian
0.000 0.000 0.000
0.418 2.150 3.240
1.929 0.000 2.150
3.415 2.150 1.075
```

energy above the most stable polymorph in this dataset	21	meV per atom
total magnetization	0.0	μB/cell
V	98.4	Å³/f.u.
raw formation energy	-0.0745	eV per atom



[3]
A geometry-optimized InTe2Au2 structure, computed with PBE-GGA.

POSCAR file:
```
InTe2Au2
1.0
-2.304 2.304 6.420
2.304 -2.304 6.420
2.304 2.304 -6.420
In Te Au
1 2 2
Cartesian
0.000 0.000 0.000
2.304 0.000 3.210
0.000 2.304 3.210
0.000 0.000 5.094
0.000 0.000 7.747
```

energy above the most stable polymorph in this dataset	139	meV per atom
total magnetization	0.0	μB/cell
V	136.4	Å³/f.u.
raw formation energy	0.1264	eV per atom



[4]
A geometry-optimized InTe2Au structure, computed with PBE-GGA.

POSCAR file:
```
InTe2Au
1.0
3.155 -5.849 0.000
3.155 5.849 0.000
-3.124 0.000 5.920
In Te Au
2 4 2
Cartesian
0.813 4.441 4.440
2.375 -4.441 1.480
-0.751 1.482 4.618
0.810 -1.482 1.659
2.377 1.482 4.261
3.939 -1.482 1.301
2.375 1.602 1.480
0.813 -1.602 4.440
```

total magnetization	0.0	μB/cell
V	109.2	Å³/f.u.
raw formation energy	-0.0629	eV per atom



[5]
A geometry-optimized InTe2Au structure, computed with PBE-GGA.

POSCAR file:
```
InTe2Au
1.0
-2.034 3.455 4.193
2.034 -3.455 4.193
2.034 3.455 -4.193
In Te Au
1 2 1
Cartesian
0.000 0.000 0.000
0.000 0.000 3.816
0.000 3.455 1.919
2.034 0.000 1.912
```

total magnetization	0.0	μB/cell
V	117.9	Å³/f.u.
raw formation energy	0.0667	eV per atom



[6]
A geometry-optimized In2TeAu structure, computed with PBE-GGA.

POSCAR file:
```
In2TeAu
1.0
4.151 0.000 0.000
0.000 4.121 0.000
-2.074 0.000 6.348
In Te Au
2 1 1
Cartesian
0.000 0.000 0.000
0.011 2.061 3.927
2.095 0.000 2.829
2.073 2.061 0.356
```

total magnetization	0.0	μB/cell
V	108.6	Å³/f.u.
raw formation energy	-0.1570	eV per atom



[7]
A geometry-optimized InTe2Au structure, computed with PBE-GGA.

POSCAR file:
```
InTe2Au
1.0
4.500 0.000 0.000
0.000 4.068 0.000
-0.203 0.000 7.128
In Te Au
1 2 1
Cartesian
0.000 0.000 0.000
2.038 2.034 5.356
2.260 2.034 1.772
2.149 0.000 3.564
```

total magnetization	0.0	μB/cell
V	130.5	Å³/f.u.
raw formation energy	-0.0768	eV per atom



[8]
A geometry-optimized InTe2Au structure, computed with PBE-GGA.

POSCAR file:
```
InTe2Au
1.0
5.835 0.000 0.000
0.000 5.835 0.000
0.000 0.000 3.133
In Te Au
1 2 1
Cartesian
0.000 0.000 0.000
0.000 2.918 1.567
2.918 0.000 1.567
2.918 2.918 0.000
```

total magnetization	0.0	μB/cell
V	106.7	Å³/f.u.
raw formation energy	0.1663	eV per atom



- What is the raw formation energy in the third record?
  0.1264 eV per atom



Repeat the fourth record exactly.
A geometry-optimized InTe2Au structure, computed with PBE-GGA.

POSCAR file:
```
InTe2Au
1.0
3.155 -5.849 0.000
3.155 5.849 0.000
-3.124 0.000 5.920
In Te Au
2 4 2
Cartesian
0.813 4.441 4.440
2.375 -4.441 1.480
-0.751 1.482 4.618
0.810 -1.482 1.659
2.377 1.482 4.261
3.939 -1.482 1.301
2.375 1.602 1.480
0.813 -1.602 4.440
```

total magnetization	0.0	μB/cell
V	109.2	Å³/f.u.
raw formation energy	-0.0629	eV per atom



Repeat the second record exactly.
A geometry-optimized InTeAu2 structure, computed with PBE-GGA.

POSCAR file:
```
InTeAu2
1.0
4.905 0.000 0.000
0.000 4.300 0.000
-1.555 0.000 4.667
In Te Au
1 1 2
Cartesian
0.000 0.000 0.000
0.418 2.150 3.240
1.929 0.000 2.150
3.415 2.150 1.075
```

energy above the most stable polymorph in this dataset	21	meV per atom
total magnetization	0.0	μB/cell
V	98.4	Å³/f.u.
raw formation energy	-0.0745	eV per atom